[1]
DFT (SCAN) results for a PBEsol-optimized structure of K3InCl6.

Values from the calculation:
The magnetization comes out at 0.00 Bohr magnetons per cell. The calculation puts the density of states at the Fermi level at 0.000 states/eV/atom.

Cell and atoms, written as CIF:
```
data_K3InCl6
_chemical_formula_sum 'K12 In4 Cl24'
_cell_length_a 12.7448
_cell_length_b 7.6104
_cell_length_c 12.0682
_cell_angle_alpha 90.00
_cell_angle_beta 108.24
_cell_angle_gamma 90.00
_space_group_name_H-M_alt 'P 1 21/c 1'
_space_group_IT_number 14
loop_
_space_group_symop_operation_xyz
'x,y,z'
'-x,-y,-z'
'-x,y+1/2,-z+1/2'
'x,-y+1/2,z+1/2'
loop_
_atom_site_label
_atom_site_fract_x
_atom_site_fract_y
_atom_site_fract_z
K1 0.0909 0.0663 0.3511
K2 0.3183 0.0748 0.1161
K3 0.3201 0.5719 0.2671
In1 0.0000 0.0000 0.0000
In2 0.5000 0.0000 0.5000
Cl1 0.0944 0.2179 0.5982
Cl2 0.1232 0.0004 0.8758
Cl3 0.1345 0.6757 0.6576
Cl4 0.3467 0.2103 0.3936
Cl5 0.3510 0.7105 0.0074
Cl6 0.4995 0.1340 0.6925
```

[2]
DFT (SCAN) results for a PBEsol-optimized structure of KInCl2.

Values from the calculation:
The magnetization comes out at 0.00 Bohr magnetons per cell. The relative energy among the computed polymorphs is 32 meV per atom. The calculation puts the density of states at the Fermi level at 0.000 states/eV/atom.

Cell and atoms, written as CIF:
```
data_KInCl2
_chemical_formula_sum 'K1 In1 Cl2'
_cell_length_a 3.7144
_cell_length_b 3.7142
_cell_length_c 7.5271
_cell_angle_alpha 90.00
_cell_angle_beta 90.07
_cell_angle_gamma 90.00
_space_group_name_H-M_alt 'P 1 2/m 1'
_space_group_IT_number 10
loop_
_space_group_symop_operation_xyz
'x,y,z'
'-x,-y,-z'
'-x,y,-z'
'x,-y,z'
loop_
_atom_site_label
_atom_site_fract_x
_atom_site_fract_y
_atom_site_fract_z
K1 0.0000 0.0000 0.0000
In1 0.0000 0.0000 0.5000
Cl1 0.5003 0.5000 0.2444
```

[3]
DFT (SCAN) results for a PBEsol-optimized structure of K3InCl6.

Values from the calculation:
The magnetization comes out at 0.00 Bohr magnetons per cell. The calculation puts the density of states at the Fermi level at 0.000 states/eV/atom.

Cell and atoms, written as CIF:
```
data_K3InCl6
_chemical_formula_sum 'K12 In4 Cl24'
_cell_length_a 10.7653
_cell_length_b 10.7653
_cell_length_c 10.7653
_cell_angle_alpha 90.00
_cell_angle_beta 90.00
_cell_angle_gamma 90.00
_space_group_name_H-M_alt 'F m -3 m'
_space_group_IT_number 225
_space_group_name_Hall '-F 4 2 3'
loop_
_atom_site_label
_atom_site_fract_x
_atom_site_fract_y
_atom_site_fract_z
K1 0.0000 0.0000 0.0000
K2 0.2500 0.2500 0.2500
In1 0.0000 0.0000 0.5000
Cl1 0.0000 0.0000 0.2680
```

[4]
DFT (SCAN) results for a PBEsol-optimized structure of KIn2Cl.

Values from the calculation:
The magnetization comes out at 0.00 Bohr magnetons per cell. The relative energy among the computed polymorphs is 34 meV per atom. The calculation puts the density of states at the Fermi level at 0.395 states/eV/atom.

Cell and atoms, written as CIF:
```
data_KIn2Cl
_chemical_formula_sum 'K2 In4 Cl2'
_cell_length_a 3.8332
_cell_length_b 4.6447
_cell_length_c 13.3308
_cell_angle_alpha 90.00
_cell_angle_beta 90.00
_cell_angle_gamma 90.00
_space_group_name_H-M_alt 'I m m m'
_space_group_IT_number 71
_space_group_name_Hall '-I 2 2'
loop_
_atom_site_label
_atom_site_fract_x
_atom_site_fract_y
_atom_site_fract_z
K1 0.0000 0.0000 0.0000
In1 0.0000 0.5000 0.2359
Cl1 0.0000 0.0000 0.5000
```

[5]
DFT (SCAN) results for a PBEsol-optimized structure of KInCl2.

Values from the calculation:
The magnetization comes out at 0.00 Bohr magnetons per cell. The relative energy among the computed polymorphs is 13 meV per atom. The calculation puts the density of states at the Fermi level at 0.000 states/eV/atom.

Cell and atoms, written as CIF:
```
data_KInCl2
_chemical_formula_sum 'K3 In3 Cl6'
_cell_length_a 4.4188
_cell_length_b 4.4188
_cell_length_c 21.7425
_cell_angle_alpha 90.00
_cell_angle_beta 90.00
_cell_angle_gamma 120.00
_space_group_name_H-M_alt 'R -3 m'
_space_group_IT_number 166
_space_group_name_Hall '-R 3 2"'
loop_
_atom_site_label
_atom_site_fract_x
_atom_site_fract_y
_atom_site_fract_z
K1 0.0000 0.0000 0.0000
In1 0.0000 0.0000 0.5000
Cl1 0.0000 0.0000 0.2518
```

[6]
DFT (SCAN) results for a PBEsol-optimized structure of KIn2Cl.

Values from the calculation:
The magnetization comes out at 0.00 Bohr magnetons per cell. The relative energy among the computed polymorphs is 0 meV per atom. The calculation puts the density of states at the Fermi level at 0.237 states/eV/atom.

Cell and atoms, written as CIF:
```
data_KIn2Cl
_chemical_formula_sum 'K1 In2 Cl1'
_cell_length_a 3.8682
_cell_length_b 3.8559
_cell_length_c 8.7311
_cell_angle_alpha 90.00
_cell_angle_beta 102.77
_cell_angle_gamma 90.00
_space_group_name_H-M_alt 'P 1 m 1'
_space_group_IT_number 6
loop_
_space_group_symop_operation_xyz
'x,y,z'
'x,-y,z'
loop_
_atom_site_label
_atom_site_fract_x
_atom_site_fract_y
_atom_site_fract_z
K1 0.0000 0.0000 0.0000
In1 0.3162 0.0000 0.6279
In2 0.7337 0.5000 0.4624
Cl1 0.5706 0.5000 0.1415
```

[7]
DFT (SCAN) results for a PBEsol-optimized structure of KInCl2.

Values from the calculation:
The magnetization comes out at 0.00 Bohr magnetons per cell. The relative energy among the computed polymorphs is 0 meV per atom. The calculation puts the density of states at the Fermi level at 0.000 states/eV/atom.

Cell and atoms, written as CIF:
```
data_KInCl2
_chemical_formula_sum 'K2 In2 Cl4'
_cell_length_a 4.6852
_cell_length_b 4.0849
_cell_length_c 11.9044
_cell_angle_alpha 90.00
_cell_angle_beta 90.00
_cell_angle_gamma 90.00
_space_group_name_H-M_alt 'A m m 2'
_space_group_IT_number 38
loop_
_space_group_symop_operation_xyz
'x,y,z'
'-x,-y,z'
'-x,y,z'
'x,-y,z'
'x,y+1/2,z+1/2'
'-x,-y+1/2,z+1/2'
'-x,y+1/2,z+1/2'
'x,-y+1/2,z+1/2'
loop_
_atom_site_label
_atom_site_fract_x
_atom_site_fract_y
_atom_site_fract_z
K1 0.0000 0.0000 0.0000
In1 0.5000 0.0000 0.2338
Cl1 0.0000 0.0000 0.7377
Cl2 0.5000 0.0000 0.4632
```

[8]
DFT (SCAN) results for a PBEsol-optimized structure of KInCl2.

Values from the calculation:
The magnetization comes out at 0.00 Bohr magnetons per cell. The relative energy among the computed polymorphs is 1 meV per atom. The calculation puts the density of states at the Fermi level at 0.000 states/eV/atom.

Cell and atoms, written as CIF:
```
data_KInCl2
_chemical_formula_sum 'K1 In1 Cl2'
_cell_length_a 4.4109
_cell_length_b 4.4109
_cell_length_c 6.2367
_cell_angle_alpha 90.00
_cell_angle_beta 90.00
_cell_angle_gamma 90.00
_space_group_name_H-M_alt 'P 4 m m'
_space_group_IT_number 99
loop_
_space_group_symop_operation_xyz
'x,y,z'
'-y,x,z'
'-x,-y,z'
'y,-x,z'
'-x,y,z'
'y,x,z'
'x,-y,z'
'-y,-x,z'
loop_
_atom_site_label
_atom_site_fract_x
_atom_site_fract_y
_atom_site_fract_z
K1 0.0000 0.0000 0.0000
In1 0.5000 0.5000 0.5022
Cl1 0.0000 0.0000 0.4975
Cl2 0.5000 0.5000 0.0262
```

[9]
DFT (SCAN) results for a PBEsol-optimized structure of KInCl2.

Values from the calculation:
The magnetization comes out at 0.00 Bohr magnetons per cell. The relative energy among the computed polymorphs is 37 meV per atom. The calculation puts the density of states at the Fermi level at 0.000 states/eV/atom.

Cell and atoms, written as CIF:
```
data_KInCl2
_chemical_formula_sum 'K4 In4 Cl8'
_cell_length_a 7.4790
_cell_length_b 7.4790
_cell_length_c 7.4790
_cell_angle_alpha 90.00
_cell_angle_beta 90.00
_cell_angle_gamma 90.00
_space_group_name_H-M_alt 'F m -3 m'
_space_group_IT_number 225
_space_group_name_Hall '-F 4 2 3'
loop_
_atom_site_label
_atom_site_fract_x
_atom_site_fract_y
_atom_site_fract_z
K1 0.0000 0.0000 0.0000
In1 0.0000 0.0000 0.5000
Cl1 0.2500 0.2500 0.2500
```

[10]
DFT (SCAN) results for a PBEsol-optimized structure of KInN2Cl.

Values from the calculation:
The magnetization comes out at 3.00 Bohr magnetons per cell. The calculation puts the density of states at the Fermi level at 0.187 states/eV/atom.

Cell and atoms, written as CIF:
```
data_KInN2Cl
_chemical_formula_sum 'K1 In1 N2 Cl1'
_cell_length_a 4.1994
_cell_length_b 4.1994
_cell_length_c 9.8085
_cell_angle_alpha 90.00
_cell_angle_beta 90.00
_cell_angle_gamma 90.00
_space_group_name_H-M_alt 'P 4/m m m'
_space_group_IT_number 123
_space_group_name_Hall '-P 4 2'
loop_
_atom_site_label
_atom_site_fract_x
_atom_site_fract_y
_atom_site_fract_z
K1 0.0000 0.0000 0.0000
In1 0.0000 0.0000 0.5000
N1 0.0000 0.5000 0.5000
Cl1 0.5000 0.5000 0.0000
```

[11]
DFT (SCAN) results for a PBEsol-optimized structure of K6InTe4Cl.

Values from the calculation:
The magnetization comes out at 0.00 Bohr magnetons per cell. The calculation puts the density of states at the Fermi level at 0.000 states/eV/atom.

Cell and atoms, written as CIF:
```
data_K6InTe4Cl
_chemical_formula_sum 'K12 In2 Te8 Cl2'
_cell_length_a 11.2662
_cell_length_b 11.2662
_cell_length_c 7.9236
_cell_angle_alpha 90.00
_cell_angle_beta 90.00
_cell_angle_gamma 120.00
_space_group_name_H-M_alt 'P 63 m c'
_space_group_IT_number 186
_space_group_name_Hall 'P 6c -2c'
loop_
_atom_site_label
_atom_site_fract_x
_atom_site_fract_y
_atom_site_fract_z
K1 0.0411 0.5205 0.0000
K2 0.1240 0.2480 0.6956
In1 0.3333 0.6667 0.3849
Te1 0.1979 0.3958 0.2774
Te2 0.3333 0.6667 0.7370
Cl1 0.0000 0.0000 0.4524
```

[12]
DFT (SCAN) results for a PBEsol-optimized structure of K2TlInCl6.

Values from the calculation:
The magnetization comes out at 0.00 Bohr magnetons per cell. The calculation puts the density of states at the Fermi level at 0.000 states/eV/atom.

Cell and atoms, written as CIF:
```
data_K2TlInCl6
_chemical_formula_sum 'K8 Tl4 In4 Cl24'
_cell_length_a 10.8663
_cell_length_b 10.8663
_cell_length_c 10.8663
_cell_angle_alpha 90.00
_cell_angle_beta 90.00
_cell_angle_gamma 90.00
_space_group_name_H-M_alt 'F m -3 m'
_space_group_IT_number 225
_space_group_name_Hall '-F 4 2 3'
loop_
_atom_site_label
_atom_site_fract_x
_atom_site_fract_y
_atom_site_fract_z
K1 0.2500 0.2500 0.2500
Tl1 0.0000 0.0000 0.0000
In1 0.0000 0.0000 0.5000
Cl1 0.0000 0.0000 0.2692
```

Energy relative to the elements, uncorrected per entry: -1872.1, -1476.5, -1790.2, -758.2, -1495.5, -792.2, -1508.1, -1507.4, -1471.3, 508.7, -1281.7, -1552.4 meV/atom